DFT (PBE+U) results for an optimized crystal structure of Li2TiV3O8.

- uncorrected energy (Ha/atom) = -0.2759
- theoretical density (g/cm³) = 3.69

a = 5.9297 Å, b = 5.9796 Å, c = 6.0358 Å
α = 119.32°, β = 90.86°, γ = 119.02°
With the nearest neighbours (Å) after each atom.
Positions (direct):
Li (0.5000, 0.5000, 0.5000)  6 O 2.16-2.25
Li (0.0000, 0.5000, 0.5000)  6 O 2.18-2.23
Ti (0.0000, 0.0000, 0.0000)  6 O 1.96-1.99
V (0.5000, 0.0000, 0.0000)  6 O 1.92-1.99
V (0.5000, 0.5000, 0.0000)  6 O 2.03-2.13
V (0.0000, 0.5000, 0.0000)  6 O 2.06-2.07
O (0.7313, 0.4624, 0.2133)  3 V 1.99-2.06, 2 Li 2.18-2.22
O (0.2687, 0.5376, 0.7867)  3 V 1.99-2.06, 2 Li 2.18-2.22
O (0.2342, 0.4597, 0.2138)  1 Ti 1.98, 2 V 2.05-2.06, 1 Li 2.16
O (0.7658, 0.5403, 0.7862)  1 Ti 1.98, 2 V 2.05-2.06, 1 Li 2.16
O (0.7411, 0.9915, 0.2071)  2 V 1.92-2.13, 1 Ti 1.99
O (0.2402, 0.9798, 0.2065)  1 Ti 1.96, 2 V 1.99-2.07
O (0.7598, 0.0202, 0.7935)  1 Ti 1.96, 2 V 1.99-2.07
O (0.2589, 0.0085, 0.7929)  2 V 1.92-2.13, 1 Ti 1.99